[1]
Rb2Sb2Se: optimized geometry, GGA-PBE.

Unit cell a=4.2416 b=4.2416 c=11.2863 alpha=79.17 beta=79.17 gamma=90.00
With the nearest neighbours (Å) after each atom.
Element x y z (fractional)
Sb 0.7500 0.2500 0.5000  4 Sb 3.00
Sb 0.2500 0.7500 0.5000  4 Sb 3.00
Se 0.0000 0.0000 0.0000  8 Rb 3.55
Rb 0.4130 0.4130 0.1740  4 Se 3.55, 1 Rb 3.79
Rb 0.5870 0.5870 0.8260  4 Se 3.55, 1 Rb 3.79

Uncorrected formation energy in kJ per mole of atoms: -42.4
SG: No. 139



[2]
CaLa2Ag2: optimized geometry, GGA-PBE.

Unit cell a=8.6239 b=8.6239 c=4.0867 alpha=90.00 beta=90.00 gamma=90.00
With the nearest neighbours (Å) after each atom.
Element x y z (fractional)
Ca 0.0000 0.0000 0.0000  4 Ag 3.39
Ca 0.5000 0.5000 0.0000  4 Ag 3.39
Ag 0.3724 0.8724 0.0000  1 Ag 3.11, 6 La 3.25-3.26, 2 Ca 3.39
Ag 0.8724 0.6276 0.0000  1 Ag 3.11, 6 La 3.25-3.26, 2 Ca 3.39
Ag 0.6276 0.1276 0.0000  1 Ag 3.11, 6 La 3.25-3.26, 2 Ca 3.39
Ag 0.1276 0.3724 0.0000  1 Ag 3.11, 6 La 3.25-3.26, 2 Ca 3.39
La 0.1639 0.6639 0.5000  6 Ag 3.25-3.26
La 0.6639 0.8361 0.5000  6 Ag 3.25-3.26
La 0.8361 0.3361 0.5000  6 Ag 3.25-3.26
La 0.3361 0.1639 0.5000  6 Ag 3.25-3.26

Energy of formation from the pure elements in eV/f.u.: -1.1
SG: No. 127



[3]
Sc4Ir: optimized geometry, GGA-PBE.

Unit cell a=5.4365 b=5.4365 c=5.4365 alpha=109.47 beta=109.47 gamma=109.47
With the nearest neighbours (Å) after each atom.
Element x y z (fractional)
Sc 0.5000 0.0000 0.0000  2 Ir 2.72
Sc 0.5000 0.5000 0.5000  2 Ir 2.72
Sc 0.0000 0.5000 0.0000  2 Ir 2.72
Sc 0.0000 0.0000 0.5000  2 Ir 2.72
Ir 0.0000 0.0000 0.0000  8 Sc 2.72

Energy of formation from the pure elements in eV/f.u.: -0.4
SG: No. 229



Relative energy among the computed polymorphs: 0.00, 0.00, 1.59 (eV per formula unit)
E: -15.86, -18.65, -34.57 (eV/f.u.)